No. 1
DFT (PBE-GGA) results for a relaxed TiMo2Br2 crystal.

a = 7.6008 Å, b = 7.6008 Å, c = 3.1422 Å
α = 90.00°, β = 90.00°, γ = 90.00°
Closest atoms and distances in Å follow each position.
Element x y z (fractional)
Mo 0.1132 0.6132 0.5000  1 Mo 2.43, 2 Br 2.62
Mo 0.8868 0.3868 0.5000  1 Mo 2.43, 2 Br 2.62
Mo 0.6132 0.8868 0.5000  1 Mo 2.43, 2 Br 2.62
Mo 0.3868 0.1132 0.5000  1 Mo 2.43, 2 Br 2.62
Ti 0.5000 0.5000 0.0000  4 Br 2.76
Ti 0.0000 0.0000 0.0000  4 Br 2.76
Br 0.3088 0.8088 0.0000  6 Mo 2.62-2.86, 2 Ti 2.76
Br 0.6912 0.1912 0.0000  6 Mo 2.62-2.86, 2 Ti 2.76
Br 0.1912 0.3088 0.0000  6 Mo 2.62-2.86, 2 Ti 2.76
Br 0.8088 0.6912 0.0000  6 Mo 2.62-2.86, 2 Ti 2.76

Computed properties:
Calculated total energy   -5.71 eV per atom
Polymorph energy (0 for the lowest one)   0 kJ/mol of formula units
Space-group type   P4/mbm
Calculated volume   182 Å³/cell

No. 2
DFT (PBE-GGA) results for a relaxed TiMo2Br2 crystal.

a = 4.3969 Å, b = 4.3969 Å, c = 6.0521 Å
α = 68.70°, β = 68.70°, γ = 90.00°
Closest atoms and distances in Å follow each position.
Element x y z (fractional)
Mo 0.7500 0.2500 0.5000  4 Br 2.49
Mo 0.2500 0.7500 0.5000  4 Br 2.49
Br 0.3636 0.3636 0.2729  4 Mo 2.49
Br 0.6364 0.6364 0.7271  4 Mo 2.49
Ti 0.0000 0.0000 0.0000  8 Mo 3.40, 10 Br 3.42-3.78

Computed properties:
Calculated total energy   -5.59 eV per atom
Polymorph energy (0 for the lowest one)   54 kJ/mol of formula units
Space-group type   I4/mmm
Calculated volume   100 Å³/cell

No. 3
DFT (PBE-GGA) results for a relaxed YTi2MoBr crystal.

a = 4.6141 Å, b = 5.1924 Å, c = 4.6141 Å
α = 90.00°, β = 90.00°, γ = 90.00°
Closest atoms and distances in Å follow each position.
Element x y z (fractional)
Br 0.0000 0.0000 0.0000  4 Ti 2.31
Y 0.0000 0.5000 0.0000  2 Br 2.60
Mo 0.5000 0.5000 0.5000  4 Y 3.26, 8 Ti 3.47
Ti 0.0000 0.0000 0.5000  2 Br 2.31
Ti 0.5000 0.0000 0.0000  2 Br 2.31

Computed properties:
Calculated total energy   -6.22 eV per atom
Polymorph energy (0 for the lowest one)   73 kJ/mol of formula units
Space-group type   P4/mmm
Calculated volume   111 Å³/cell

Q: Number 1 is which compound?
A: TiMo2Br2

Q: Look up the calculated volume of the second one.
A: 100 Å³/cell

What did the second record say?
DFT (PBE-GGA) results for a relaxed TiMo2Br2 crystal.

a = 4.3969 Å, b = 4.3969 Å, c = 6.0521 Å
α = 68.70°, β = 68.70°, γ = 90.00°
Closest atoms and distances in Å follow each position.
Element x y z (fractional)
Mo 0.7500 0.2500 0.5000  4 Br 2.49
Mo 0.2500 0.7500 0.5000  4 Br 2.49
Br 0.3636 0.3636 0.2729  4 Mo 2.49
Br 0.6364 0.6364 0.7271  4 Mo 2.49
Ti 0.0000 0.0000 0.0000  8 Mo 3.40, 10 Br 3.42-3.78

Computed properties:
Calculated total energy   -5.59 eV per atom
Polymorph energy (0 for the lowest one)   54 kJ/mol of formula units
Space-group type   I4/mmm
Calculated volume   100 Å³/cell

Q: Look up the calculated total energy of the second one.
A: -5.59 eV per atom